Record 1
Te3BrCl | PBE-GGA | optimized geometry

extended XYZ file:
```
5
Lattice="-2.741 3.675 2.954 -2.303 -4.025 2.871 4.115 0.196 3.574" Properties=species:S:1:pos:R:3 pbc="T T T"
Te -1.151 -2.013 1.436
Te 2.058 0.098 1.787
Te -1.370 1.838 1.477
Br -0.464 -0.077 4.700
Cl 0.000 0.000 0.000
```

Calculated values
- calculated volume (Å³/f.u.) = 162.3
- energy relative to the lowest polymorph listed for this composition (eV/atom) = 0.000
- M_tot (μB per formula unit) = 0.0



Record 2
ThAgAs2 | PBE-GGA | optimized geometry

extended XYZ file:
```
4
Lattice="4.420 0.000 0.000 2.210 3.828 0.000 2.210 1.276 5.640" Properties=species:S:1:pos:R:3 pbc="T T T"
As 2.210 1.276 1.328
As 6.630 3.828 4.312
Ag 0.000 0.000 0.000
Th 4.420 2.552 2.820
```

Calculated values
- calculated volume (Å³/f.u.) = 95.4
- M_tot (μB per formula unit) = 0.0
- ΔH_f (0 K) (eV per atom) = -0.520



> Look up the M_tot of the second one.

0.0 μB per formula unit



Copy entry 1 word for word.
Te3BrCl | PBE-GGA | optimized geometry

extended XYZ file:
```
5
Lattice="-2.741 3.675 2.954 -2.303 -4.025 2.871 4.115 0.196 3.574" Properties=species:S:1:pos:R:3 pbc="T T T"
Te -1.151 -2.013 1.436
Te 2.058 0.098 1.787
Te -1.370 1.838 1.477
Br -0.464 -0.077 4.700
Cl 0.000 0.000 0.000
```

Calculated values
- calculated volume (Å³/f.u.) = 162.3
- energy relative to the lowest polymorph listed for this composition (eV/atom) = 0.000
- M_tot (μB per formula unit) = 0.0



> What is the calculated volume in the first record?

162.3 Å³/f.u.



> Among the records above, which one has the highest calculated volume?

Te3BrCl